An optimized crystal structure of TlGa3Pt3, computed with PBE-GGA.

Results
The value obtained for the mass density is 9.94 Mg/m³. As for the final energy: -62.0 eV/cell. Its formation energy is -0.2058 eV/atom. The crystal system is cubic.

a b c (Å): 6.9353 6.9353 6.9353
angles (deg): 90.00 90.00 90.00
Closest atoms and distances in Å follow each position.
Fractional coordinates of all 14 atoms:
Ga (0.2500, 0.0000, 0.5000)  4 Pt 2.45
Ga (0.5000, 0.7500, 0.0000)  4 Pt 2.45
Ga (0.0000, 0.5000, 0.2500)  4 Pt 2.45
Ga (0.7500, 0.0000, 0.5000)  4 Pt 2.45
Ga (0.5000, 0.2500, 0.0000)  4 Pt 2.45
Ga (0.0000, 0.5000, 0.7500)  4 Pt 2.45
Pt (0.5000, 0.0000, 0.2500)  4 Ga 2.45
Pt (0.0000, 0.2500, 0.5000)  4 Ga 2.45
Pt (0.7500, 0.5000, 0.0000)  4 Ga 2.45
Pt (0.0000, 0.7500, 0.5000)  4 Ga 2.45
Pt (0.2500, 0.5000, 0.0000)  4 Ga 2.45
Pt (0.5000, 0.0000, 0.7500)  4 Ga 2.45
Tl (0.5000, 0.5000, 0.5000)  12 Pt 3.88, 12 Ga 3.88
Tl (0.0000, 0.0000, 0.0000)  12 Pt 3.88, 12 Ga 3.88


An optimized crystal structure of Tl2GaPt, computed with PBE-GGA.

Results
The value obtained for the mass density is 11.75 Mg/m³. The energy above the lowest structure with this stoichiometry comes out at 0.2164 eV per atom. As for the final energy: -13.2 eV/cell. Its formation energy is 0.1503 eV/atom. The crystal system is trigonal.

a b c (Å): 3.3074 3.3074 10.2286
angles (deg): 80.70 80.70 60.00
Closest atoms and distances in Å follow each position.
Fractional coordinates of all 4 atoms:
Pt (0.5000, 0.5000, 0.5000)  6 Tl 2.89
Ga (0.0000, 0.0000, 0.0000)  2 Tl 2.85
Tl (0.0947, 0.0947, 0.7159)  1 Ga 2.85, 3 Pt 2.89
Tl (0.9053, 0.9053, 0.2841)  1 Ga 2.85, 3 Pt 2.89


An optimized crystal structure of TlGa2Pt2, computed with PBE-GGA.

Results
The value obtained for the mass density is 12.70 Mg/m³. The energy above the lowest structure with this stoichiometry comes out at 0.0000 eV per atom. As for the final energy: -22.5 eV/cell. Its formation energy is -0.3954 eV/atom. The crystal system is tetragonal.

a b c (Å): 3.9916 3.9916 6.6528
angles (deg): 72.54 72.54 90.00
Closest atoms and distances in Å follow each position.
Fractional coordinates of all 5 atoms:
Ga (0.2500, 0.7500, 0.5000)  4 Pt 2.55, 4 Ga 2.82
Ga (0.7500, 0.2500, 0.5000)  4 Pt 2.55, 4 Ga 2.82
Tl (0.0000, 0.0000, 0.0000)  8 Pt 3.16
Pt (0.6180, 0.6180, 0.7639)  4 Ga 2.55, 1 Pt 2.84
Pt (0.3820, 0.3820, 0.2361)  4 Ga 2.55, 1 Pt 2.84


An optimized crystal structure of Tl2GaPt2, computed with PBE-GGA.

Results
The value obtained for the mass density is 13.06 Mg/m³. As for the final energy: -40.5 eV/cell. Its formation energy is -0.0858 eV/atom. The crystal system is tetragonal.

a b c (Å): 6.4645 6.4645 5.2867
angles (deg): 90.00 90.00 90.00
Closest atoms and distances in Å follow each position.
Fractional coordinates of all 10 atoms:
Pt (0.3548, 0.8548, 0.0000)  2 Ga 2.48, 1 Pt 2.66
Pt (0.8548, 0.6452, 0.0000)  2 Ga 2.48, 1 Pt 2.66
Pt (0.1452, 0.3548, 0.0000)  2 Ga 2.48, 1 Pt 2.66
Pt (0.6452, 0.1452, 0.0000)  2 Ga 2.48, 1 Pt 2.66
Tl (0.3192, 0.1808, 0.5000)  6 Pt 3.09-3.39, 5 Tl 3.31-3.35
Tl (0.6808, 0.8192, 0.5000)  6 Pt 3.09-3.39, 5 Tl 3.31-3.35
Tl (0.8192, 0.3192, 0.5000)  6 Pt 3.09-3.39, 5 Tl 3.31-3.35
Tl (0.1808, 0.6808, 0.5000)  6 Pt 3.09-3.39, 5 Tl 3.31-3.35
Ga (0.5000, 0.5000, 0.0000)  4 Pt 2.48
Ga (0.0000, 0.0000, 0.0000)  4 Pt 2.48


An optimized crystal structure of TlGaPt6, computed with PBE-GGA.

Results
The value obtained for the mass density is 18.40 Mg/m³. As for the final energy: -43.6 eV/cell. Its formation energy is -0.2413 eV/atom. The crystal system is tetragonal.

a b c (Å): 4.0237 4.0237 8.0522
angles (deg): 90.00 90.00 90.00
Closest atoms and distances in Å follow each position.
Fractional coordinates of all 8 atoms:
Pt (0.0000, 0.5000, 0.2660)  8 Pt 2.76-2.94, 2 Ga 2.76, 2 Tl 2.94
Pt (0.5000, 0.5000, 0.5000)  8 Pt 2.76, 4 Ga 2.85
Pt (0.0000, 0.5000, 0.7340)  8 Pt 2.76-2.94, 2 Ga 2.76, 2 Tl 2.94
Pt (0.5000, 0.0000, 0.2660)  8 Pt 2.76-2.94, 2 Ga 2.76, 2 Tl 2.94
Pt (0.5000, 0.5000, 0.0000)  4 Tl 2.85, 8 Pt 2.94
Pt (0.5000, 0.0000, 0.7340)  8 Pt 2.76-2.94, 2 Ga 2.76, 2 Tl 2.94
Ga (0.0000, 0.0000, 0.5000)  12 Pt 2.76-2.85
Tl (0.0000, 0.0000, 0.0000)  12 Pt 2.85-2.94


An optimized crystal structure of TlGaPt3, computed with PBE-GGA.

Results
The value obtained for the mass density is 13.68 Mg/m³. The energy above the lowest structure with this stoichiometry comes out at 0.0000 eV per atom. As for the final energy: -21.6 eV/cell. Its formation energy is 0.3791 eV/atom. The crystal system is cubic.

a b c (Å): 4.7078 4.7078 4.7078
angles (deg): 90.00 90.00 90.00
Closest atoms and distances in Å follow each position.
Fractional coordinates of all 5 atoms:
Pt (0.5000, 0.0000, 0.0000)  2 Ga 2.35
Pt (0.0000, 0.0000, 0.5000)  2 Ga 2.35
Pt (0.0000, 0.5000, 0.0000)  2 Ga 2.35
Ga (0.0000, 0.0000, 0.0000)  6 Pt 2.35
Tl (0.5000, 0.5000, 0.5000)  12 Pt 3.33


An optimized crystal structure of TlGa2Pt2, computed with PBE-GGA.

Results
The value obtained for the mass density is 13.61 Mg/m³. The energy above the lowest structure with this stoichiometry comes out at 0.0460 eV per atom. As for the final energy: -44.5 eV/cell. Its formation energy is -0.3493 eV/atom. The crystal system is tetragonal.

a b c (Å): 7.9115 7.9115 2.8615
angles (deg): 90.00 90.00 90.00
Closest atoms and distances in Å follow each position.
Fractional coordinates of all 10 atoms:
Tl (0.5000, 0.5000, 0.0000)  2 Tl 2.86, 4 Pt 3.03
Tl (0.0000, 0.0000, 0.0000)  2 Tl 2.86, 4 Pt 3.03
Pt (0.3543, 0.8543, 0.0000)  6 Ga 2.72-2.73, 2 Pt 2.86, 2 Tl 3.03
Pt (0.1457, 0.3543, 0.0000)  6 Ga 2.72-2.73, 2 Pt 2.86, 2 Tl 3.03
Pt (0.6457, 0.1457, 0.0000)  6 Ga 2.72-2.73, 2 Pt 2.86, 2 Tl 3.03
Pt (0.8543, 0.6457, 0.0000)  6 Ga 2.72-2.73, 2 Pt 2.86, 2 Tl 3.03
Ga (0.8531, 0.3531, 0.5000)  6 Pt 2.72-2.73, 2 Ga 2.86
Ga (0.3531, 0.1469, 0.5000)  6 Pt 2.72-2.73, 2 Ga 2.86
Ga (0.1469, 0.6469, 0.5000)  6 Pt 2.72-2.73, 2 Ga 2.86
Ga (0.6469, 0.8531, 0.5000)  6 Pt 2.72-2.73, 2 Ga 2.86


An optimized crystal structure of Tl2GaPt, computed with PBE-GGA.

Results
The value obtained for the mass density is 9.98 Mg/m³. The energy above the lowest structure with this stoichiometry comes out at 0.0000 eV per atom. As for the final energy: -28.1 eV/cell. Its formation energy is -0.0661 eV/atom. The crystal system is tetragonal.

a b c (Å): 9.5921 9.5921 7.2069
angles (deg): 48.28 48.28 90.00
Closest atoms and distances in Å follow each position.
Fractional coordinates of all 8 atoms:
Tl (0.3750, 0.2635, 0.7500)  2 Pt 2.81
Tl (0.0135, 0.6250, 0.2500)  2 Pt 2.81
Tl (0.8750, 0.9865, 0.7500)  2 Pt 2.81
Tl (0.7365, 0.1250, 0.2500)  2 Pt 2.81
Pt (0.7500, 0.2500, 0.5000)  2 Ga 2.44
Pt (0.0000, 0.0000, 0.0000)  2 Ga 2.44
Ga (0.5000, 0.5000, 0.0000)  2 Pt 2.44
Ga (0.2500, 0.7500, 0.5000)  2 Pt 2.44


> Which value of mass density does entry 1 give?

9.94 Mg/m³